[1]
DFT (meta-GGA SCAN) results for Cs2RbPdF6 at its PBEsol-relaxed geometry.

It has space group I4/mmm (No. 139), with a = 6.449 Å, b = 6.449 Å, c = 9.576 Å, α = 90.00°, β = 90.00° and γ = 90.00°. The inequivalent atoms are Cs at (0.000, 0.500, 0.250), Rb at (0.000, 0.000, 0.000), Pd at (0.000, 0.000, 0.500), F at (0.000, 0.000, 0.273) and F at (0.215, 0.215, 0.500).

Its calculated total energy is -349.8 eV/cell. As for the energy relative to the elements, uncorrected: -2.45 eV/atom. The total magnetization is 1.00 μB/f.u.

[2]
DFT (meta-GGA SCAN) results for Cs2TlPdF6 at its PBEsol-relaxed geometry.

It has space group Fm-3m (No. 225), with a = 9.117 Å, b = 9.117 Å, c = 9.117 Å, α = 90.00°, β = 90.00° and γ = 90.00°. The inequivalent atoms are Cs at (0.250, 0.250, 0.250), Tl at (0.000, 0.000, 0.000), Pd at (0.000, 0.000, 0.500) and F at (0.000, 0.000, 0.274).

Its calculated total energy is -897.2 eV/cell. As for the energy relative to the elements, uncorrected: -2.23 eV/atom. The total magnetization is 1.00 μB/f.u.

[3]
DFT (meta-GGA SCAN) results for Cs3PtF at its PBEsol-relaxed geometry.

It has space group Pm-3m (No. 221), with a = 5.571 Å, b = 5.571 Å, c = 5.571 Å, α = 90.00°, β = 90.00° and γ = 90.00°. The inequivalent atoms are Cs at (0.000, 0.000, 0.500), Pt at (0.500, 0.500, 0.500) and F at (0.000, 0.000, 0.000).

Its calculated total energy is -192.9 eV/cell. As for the energy relative to the elements, uncorrected: -1.14 eV/atom. The total magnetization is 0.18 μB/f.u.

What theoretical density values result from the calculations? In sequence: 4.8; 6.1; 5.9 g/cm3.